# 1
A plane-wave DFT calculation with PBE was carried out for an optimized crystal structure of SrCd3Ga2.

Cell lengths 4.529, 8.779, 8.371 Å; angles 114.49, 90.00, 104.95 degrees
Element x y z (fractional)
Ga1 0.481 0.962 0.839
Sr1 0.852 0.705 0.929
Sr2 0.148 0.295 0.071
Ga2 0.800 0.600 0.285
Cd1 0.605 0.209 0.710
Cd2 0.316 0.633 0.555
Cd3 0.041 0.082 0.372
Cd4 0.959 0.918 0.628
Ga3 0.519 0.038 0.161
Cd5 0.684 0.367 0.445
Cd6 0.395 0.791 0.290
Ga4 0.200 0.400 0.715

Results
Space group: No. 12
Crystal system: monoclinic
Total DFT energy (no corrections) (eV for the cell shown): -24.032
Formation energy from the elements (eV per formula unit): -1.535


# 2
A plane-wave DFT calculation with PBE was carried out for an optimized crystal structure of Sr2CdGa.

Cell lengths 3.962, 3.962, 8.053 Å; angles 90.00, 90.00, 90.00 degrees
Element x y z (fractional)
Sr1 0.000 0.000 0.764
Sr2 0.000 0.000 0.236
Ga1 0.500 0.500 0.000
Cd1 0.500 0.500 0.500

Results
Space group: No. 123
Crystal system: tetragonal
Total DFT energy (no corrections) (eV for the cell shown): -8.715
Formation energy from the elements (eV per formula unit): -1.410


# 3
A plane-wave DFT calculation with PBE was carried out for an optimized crystal structure of Sr6Cd3Ga.

Cell lengths 5.805, 10.129, 13.010 Å; angles 109.18, 90.00, 90.00 degrees
Element x y z (fractional)
Sr1 0.750 0.764 0.501
Cd1 0.250 0.392 0.774
Cd2 0.750 0.231 0.032
Sr2 0.750 0.507 0.903
Sr3 0.750 0.349 0.334
Sr4 0.750 0.872 0.841
Ga1 0.250 0.943 0.609
Sr5 0.250 0.121 0.863
Sr6 0.250 0.651 0.666
Sr7 0.250 0.855 0.337
Cd3 0.750 0.461 0.622
Sr8 0.250 0.493 0.097
Ga2 0.750 0.057 0.391
Cd4 0.250 0.539 0.378
Cd5 0.750 0.608 0.226
Sr9 0.250 0.236 0.499
Sr10 0.250 0.128 0.159
Cd6 0.250 0.769 0.968
Sr11 0.750 0.145 0.663
Sr12 0.750 0.879 0.137

Results
Space group: No. 11
Crystal system: monoclinic
Total DFT energy (no corrections) (eV for the cell shown): -36.557
Formation energy from the elements (eV per formula unit): -2.415


# 4
A plane-wave DFT calculation with PBE was carried out for an optimized crystal structure of Sr3Cd2Ga3.

Cell lengths 4.797, 6.336, 15.955 Å; angles 90.00, 90.00, 112.24 degrees
Element x y z (fractional)
Ga1 0.334 0.668 0.250
Ga2 0.602 0.204 0.464
Cd1 0.204 0.407 0.407
Ga3 0.602 0.204 0.036
Sr1 0.092 0.184 0.610
Cd2 0.204 0.407 0.093
Ga4 0.666 0.332 0.750
Ga5 0.398 0.796 0.964
Cd3 0.796 0.593 0.593
Cd4 0.796 0.593 0.907
Sr2 0.092 0.184 0.890
Sr3 0.625 0.250 0.250
Sr4 0.375 0.750 0.750
Ga6 0.398 0.796 0.536
Sr5 0.908 0.816 0.110
Sr6 0.908 0.816 0.390

Results
Space group: No. 63
Crystal system: orthorhombic
Total DFT energy (no corrections) (eV for the cell shown): -38.195
Formation energy from the elements (eV per formula unit): -3.141


# 5
A plane-wave DFT calculation with PBE was carried out for an optimized crystal structure of Sr3Cd2Ga.

Cell lengths 5.619, 8.892, 8.149 Å; angles 90.00, 90.00, 71.58 degrees
Element x y z (fractional)
Sr1 0.500 0.000 0.756
Cd1 0.334 0.331 0.500
Sr2 0.169 0.661 0.759
Sr3 0.500 0.000 0.244
Cd2 0.666 0.669 0.500
Ga1 0.334 0.333 0.000
Sr4 0.169 0.661 0.241
Cd3 0.000 0.000 0.500
Sr5 0.831 0.339 0.759
Ga2 0.666 0.667 0.000
Cd4 0.000 0.000 0.000
Sr6 0.831 0.339 0.241

Results
Space group: No. 65
Crystal system: orthorhombic
Total DFT energy (no corrections) (eV for the cell shown): -23.871
Formation energy from the elements (eV per formula unit): -2.033


# 6
A plane-wave DFT calculation with PBE was carried out for an optimized crystal structure of Sr6Cd2Ga.

Cell lengths 5.737, 7.715, 9.054 Å; angles 83.23, 71.53, 68.17 degrees
Element x y z (fractional)
Sr1 0.299 0.227 0.175
Cd1 0.669 0.500 0.162
Sr2 0.026 0.773 0.175
Sr3 0.632 0.235 0.500
Sr4 0.368 0.765 0.500
Sr5 0.701 0.773 0.825
Sr6 0.974 0.227 0.825
Ga1 0.000 0.500 0.500
Cd2 0.331 0.500 0.838

Results
Space group: No. 69
Crystal system: orthorhombic
Total DFT energy (no corrections) (eV for the cell shown): -17.156
Formation energy from the elements (eV per formula unit): -2.208


The highest formation energy from the elements belongs to which entry?
Sr2CdGa